Here is a geometry-optimized Fe2AsAu structure from Alexandria via LeMat-Bulk. Energies are from PBE.

Cell lengths 8.6369, 8.6369, 8.6369 Å; angles 19.39, 19.39, 19.39 degrees
Fractional positions:
Fe1 0.9893 0.9893 0.9893
Fe2 0.2532 0.2532 0.2532
As1 0.5162 0.5162 0.5162
Au1 0.7414 0.7414 0.7414

Summary:
Its space group is R3m (160). Its size of the total moment is 1.231 μB/atom. The calculation puts the density at 10.3 g/cm3. The calculation puts the formation energy at 0.1806 eV/atom. The total energy comes out at -6.032 eV per atom.